[1]
First-principles (PBE) data for a geometry-optimized Rb2BaP2S6 structure, as listed in Alexandria via LeMat-Bulk.

As for the uncorrected formation energy: -973 meV/atom. The crystal system is trigonal. The density of states at the Fermi level comes out at 0.0000 states/eV per atom.

The structure belongs to space group R-3m (No. 166, hexagonal axes); the cell edges are 7.1800, 7.1800 and 23.5771 Å and the angles 90.00°, 90.00° and 120.00°. The distinct sites, in fractional coordinates, are Rb at (0.0000, 0.0000, 0.2137), Ba at (0.0000, 0.0000, 0.0000), P at (0.0000, 0.0000, 0.4508) and S at (0.0174, 0.5087, 0.2373).

[2]
First-principles (PBE) data for a geometry-optimized TbDyTh2S4 structure, as listed in Alexandria via LeMat-Bulk.

As for the uncorrected formation energy: -1910 meV/atom. The crystal system is monoclinic. The density of states at the Fermi level comes out at 0.6004 states/eV per atom.

The structure belongs to space group P2/m (No. 10); the cell edges are 6.7731, 3.9529 and 7.0416 Å and the angles 90.00°, 109.01° and 90.00°. The distinct sites, in fractional coordinates, are Tb at (0.0000, 0.0000, 0.0000), Dy at (0.5000, 0.5000, 0.0000), Th at (0.0000, 0.5000, 0.5000), Th at (0.5000, 0.0000, 0.5000), S at (0.2463, 0.5000, 0.2355) and S at (0.2558, 0.0000, 0.7651).

[3]
First-principles (PBE) data for a geometry-optimized LaThNiPt structure, as listed in Alexandria via LeMat-Bulk.

The calculation puts the energy above the most stable polymorph in this dataset at 0.64 eV/f.u. The crystal system is cubic. The formation energy comes out at -0.617 eV/atom. The density of states at the Fermi level comes out at 1.0089 states/eV per atom.

The structure belongs to space group F-43m (No. 216); the cell edges are 7.1853, 7.1853 and 7.1853 Å and the angles 90.00°, 90.00° and 90.00°. The distinct sites, in fractional coordinates, are La at (0.0000, 0.0000, 0.0000), Th at (0.0000, 0.0000, 0.5000), Ni at (0.2500, 0.2500, 0.7500) and Pt at (0.2500, 0.2500, 0.2500).

[4]
First-principles (PBE) data for a geometry-optimized La3Nd2Sm7 structure, as listed in Alexandria via LeMat-Bulk.

The crystal system is monoclinic. The formation energy comes out at 0.074 eV/atom. The density of states at the Fermi level comes out at 1.5902 states/eV per atom.

The structure belongs to space group P2/m (No. 10); the cell edges are 6.5126, 3.6115 and 18.0360 Å and the angles 90.00°, 96.34° and 90.00°. The distinct sites, in fractional coordinates, are La at (0.0000, 0.0000, 0.0000), La at (0.0458, 0.5000, 0.6610), Nd at (0.4473, 0.0000, 0.3284), Sm at (0.2288, 0.5000, 0.1658), Sm at (0.2456, 0.0000, 0.4995), Sm at (0.2748, 0.0000, 0.8340) and Sm at (0.5000, 0.5000, 0.0000).